(1)
First-principles (PBE) data for NpTa2O8 after structural relaxation, as listed in Alexandria via LeMat-Bulk.

Cell and atoms, written as POSCAR:
```
NpTa2O8
1.0
-3.702 -1.598 3.250
4.354 -1.354 2.792
1.742 4.330 2.609
O Np Ta
8 1 2
direct
0.697 0.046 0.641
0.697 0.641 0.046
0.793 0.150 0.150
0.261 0.441 0.441
0.207 0.850 0.850
0.739 0.559 0.559
0.303 0.954 0.359
0.303 0.359 0.954
0.000 0.000 0.000
0.462 0.672 0.672
0.538 0.328 0.328
```

**Uncorrected formation energy**: -30.14 eV per formula unit
**Symmetry**: C2/m
**D(E_F)**: 1.09 states/eV per cell
**Size of the total moment**: 0.09 μB/atom

=====

(2)
First-principles (PBE) data for Np4TaO10 after structural relaxation, as listed in Alexandria via LeMat-Bulk.

Cell and atoms, written as POSCAR:
```
Np4TaO10
1.0
-0.974 -3.424 1.263
1.518 -3.089 -1.556
11.646 -1.673 10.092
O Np Ta
10 4 1
direct
0.657 0.657 0.030
0.343 0.343 0.970
0.448 0.448 0.656
0.552 0.552 0.344
0.150 0.150 0.551
0.747 0.747 0.759
0.044 0.044 0.869
0.850 0.850 0.449
0.956 0.956 0.131
0.253 0.253 0.241
0.201 0.201 0.397
0.799 0.799 0.603
0.602 0.602 0.193
0.398 0.398 0.807
0.000 0.000 0.000
```

**Uncorrected formation energy**: -44.75 eV per formula unit
**Symmetry**: R-3m
**D(E_F)**: 27.26 states/eV per cell
**Size of the total moment**: 0.87 μB/atom

=====

(3)
First-principles (PBE) data for NpTa3Tl2O12 after structural relaxation, as listed in Alexandria via LeMat-Bulk.

Cell and atoms, written as POSCAR:
```
NpTa3Tl2O12
1.0
7.652 0.140 0.099
3.901 6.585 0.099
3.901 2.271 6.182
Tl Ta Np O
2 3 1 12
direct
0.596 0.596 0.596
0.404 0.404 0.404
0.000 0.500 0.000
0.500 0.000 0.000
0.000 0.000 0.500
0.000 0.000 0.000
0.311 0.933 0.311
0.689 0.689 0.067
0.689 0.067 0.689
0.937 0.937 0.315
0.067 0.689 0.689
0.933 0.311 0.311
0.063 0.063 0.685
0.937 0.315 0.937
0.685 0.063 0.063
0.315 0.937 0.937
0.063 0.685 0.063
0.311 0.311 0.933
```

**Uncorrected formation energy**: -43.87 eV per formula unit
**Symmetry**: R-3m
**Size of the total moment**: 0.00 μB/atom

=====

(4)
First-principles (PBE) data for NpTaTlO6 after structural relaxation, as listed in Alexandria via LeMat-Bulk.

Cell and atoms, written as POSCAR:
```
NpTaTlO6
1.0
-3.397 6.595 -1.074
-4.366 -3.178 -5.704
0.122 -3.055 7.016
O Tl Ta Np
12 2 2 2
direct
0.180 0.945 0.751
0.820 0.055 0.249
0.571 0.945 0.751
0.820 0.694 0.249
0.429 0.694 0.249
0.180 0.306 0.751
0.571 0.306 0.751
0.191 0.941 0.382
0.809 0.059 0.618
0.429 0.055 0.249
0.569 0.319 0.138
0.431 0.681 0.862
0.933 0.683 0.865
0.067 0.317 0.135
0.500 0.000 0.500
0.000 0.000 0.500
0.500 0.500 0.000
0.500 0.000 0.000
```

**Uncorrected formation energy**: -22.29 eV per formula unit
**Symmetry**: Imma
**D(E_F)**: 1.12 states/eV per cell
**Size of the total moment**: 0.11 μB/atom

=====

What is the uncorrected formation energy in the fourth record? -22.29 eV per formula unit

=====

What is the formula in the second record? Np4TaO10